{"formula": "CdNi2Ir2", "functional": "PBE", "state": "optimized geometry", "dft_energy_ev_per_atom": -5.85, "m_tot_mub_per_cell": 0.000, "spacegroup": "No. 127", "e_form_mev_per_atom": 193.8, "lattice": [[7.3164, 0.0000, 0.0000], [0.0000, 7.3164, 0.0000], [0.0000, 0.0000, 2.7393]], "species": ["Cd", "Cd", "Ni", "Ni", "Ni", "Ni", "Ir", "Ir", "Ir", "Ir"], "fractional_positions": [[0.0000, 0.0000, 0.0000], [0.5000, 0.5000, 0.0000], [0.1702, 0.3298, 0.5000], [0.3298, 0.8298, 0.5000], [0.6702, 0.1702, 0.5000], [0.8298, 0.6702, 0.5000], [0.1275, 0.6275, 0.0000], [0.3725, 0.1275, 0.0000], [0.6275, 0.8725, 0.0000], [0.8725, 0.3725, 0.0000]]}